DyTh2Fe9: optimized geometry, PBE.

The structure in POSCAR format:
```
DyTh2Fe9
1.0
2.564 1.480 8.251
-2.564 1.480 8.251
0.000 -2.961 8.251
Dy Th Fe
1 2 9
Cartesian
0.000 0.000 0.000 Dy
0.000 0.000 3.474 Th
0.000 0.000 21.278 Th
-1.275 -0.736 10.240 Fe
0.000 0.000 8.236 Fe
0.000 -1.473 14.512 Fe
-1.275 0.736 14.512 Fe
0.000 0.000 12.376 Fe
1.275 -0.736 10.240 Fe
0.000 1.473 10.240 Fe
0.000 0.000 16.516 Fe
1.275 0.736 14.512 Fe
```

Computed properties:
total energy	-8.0323	eV/atom
spin magnetization	1.4812	μB per atom
DFT formation energy	-6	kJ/mol of atoms
volume	187.90	Å³ per cell
space group	R-3m, No. 166